{"formula": "Y5HoEr", "functional": "PBE-GGA", "state": "optimized geometry", "lattice_angstrom": [[3.0341, -8.7253, 0.0000], [3.0341, 8.7253, 0.0000], [-1.8552, 0.0000, 8.6659]], "species": ["Y", "Y", "Y", "Y", "Y", "Y", "Y", "Y", "Y", "Y", "Ho", "Ho", "Er", "Er"], "fractional_positions": [[0.0130, 0.3888, 0.6457], [0.1428, 0.8572, 0.7500], [0.2383, 0.5425, 0.0369], [0.3888, 0.0130, 0.1457], [0.4575, 0.7617, 0.4631], [0.5425, 0.2383, 0.5369], [0.6112, 0.9870, 0.8543], [0.7617, 0.4575, 0.9631], [0.8572, 0.1428, 0.2500], [0.9870, 0.6112, 0.3543], [0.0000, 0.0000, 0.0000], [0.0000, 0.0000, 0.5000], [0.4864, 0.5136, 0.7500], [0.5136, 0.4864, 0.2500]], "final_energy_ev_per_cell": -80.4, "ef_ev_per_fu": 1.3, "mass_density_g_cm3": 5.62}

{"formula": "SrHBr3", "functional": "PBE-GGA", "state": "optimized geometry", "lattice_angstrom": [[8.7579, 0.0000, 0.0000], [0.0000, 8.1979, 0.0000], [0.0000, 0.0000, 8.0976]], "species": ["Sr", "Sr", "Sr", "Sr", "H", "H", "H", "H", "Br", "Br", "Br", "Br", "Br", "Br", "Br", "Br", "Br", "Br", "Br", "Br"], "fractional_positions": [[0.1388, 0.1298, 0.0000], [0.3612, 0.6298, 0.5000], [0.6388, 0.3702, 0.0000], [0.8612, 0.8702, 0.5000], [0.0596, 0.6320, 0.9067], [0.4404, 0.1320, 0.4067], [0.5596, 0.8680, 0.9067], [0.9404, 0.3680, 0.4067], [0.0020, 0.4923, 0.5301], [0.1442, 0.8144, 0.7614], [0.1507, 0.8588, 0.2813], [0.3493, 0.3588, 0.7813], [0.3558, 0.3144, 0.2614], [0.4980, 0.9923, 0.0301], [0.5020, 0.0077, 0.5301], [0.6442, 0.6856, 0.7614], [0.6507, 0.6412, 0.2813], [0.8493, 0.1412, 0.7813], [0.8558, 0.1856, 0.2614], [0.9980, 0.5077, 0.0301]], "final_energy_ev_per_cell": -66.9, "mass_density_g_cm3": 3.75}

Number 1 is which compound? Y5HoEr